No. 1
DFT (PBE) results for As2C after structural relaxation.

Output
total magnetic moment = 1.20 Bohr magnetons per cell
mass density = 5.0 g cm⁻³
V = 107 Å³ per cell
energy of formation from the pure elements = 2.37 eV per atom
uncorrected energy = -3.80 eV/atom

Geometry as POSCAR:
```
As2C
1.0
0.0000 3.7663 3.7663
3.7663 0.0000 3.7663
3.7663 3.7663 0.0000
As C
4 2
Direct
0.0000 0.0000 0.0000
0.0000 0.0000 0.5000
0.0000 0.5000 0.0000
0.5000 0.0000 0.0000
0.3750 0.3750 0.3750
0.6250 0.6250 0.6250
```

=====

No. 2
DFT (PBE) results for AsC after structural relaxation.

Output
total magnetic moment = 0.00 Bohr magnetons per cell
mass density = 3.7 g cm⁻³
V = 77 Å³ per cell
energy of formation from the pure elements = 0.63 eV per atom
uncorrected energy = -6.31 eV/atom

Geometry as POSCAR:
```
AsC
1.0
4.8938 0.0000 0.0000
0.0000 3.1296 0.0000
-1.7052 0.0000 5.0521
As C
2 2
Direct
0.2429 0.0000 0.1967
0.7571 0.0000 0.8033
0.4033 0.5000 0.0663
0.5967 0.5000 0.9337
```

=====

No. 3
DFT (PBE) results for As3C4 after structural relaxation.

Output
total magnetic moment = 0.00 Bohr magnetons per cell
mass density = 5.1 g cm⁻³
V = 89 Å³ per cell
energy of formation from the pure elements = 1.66 eV per atom
uncorrected energy = -5.60 eV/atom

Geometry as POSCAR:
```
As3C4
1.0
6.0948 0.0000 0.0000
-3.0474 5.2783 0.0000
0.0000 0.0000 2.7548
As C
3 4
Direct
0.0000 0.5000 0.0000
0.5000 0.0000 0.0000
0.5000 0.5000 0.0000
0.0000 0.0000 0.2576
0.0000 0.0000 0.7424
0.3333 0.6667 0.5000
0.6667 0.3333 0.5000
```

=====

No. 4
DFT (PBE) results for AsC after structural relaxation.

Output
total magnetic moment = 0.00 Bohr magnetons per cell
mass density = 5.0 g cm⁻³
V = 115 Å³ per cell
energy of formation from the pure elements = 2.53 eV per atom
uncorrected energy = -4.40 eV/atom

Geometry as POSCAR:
```
AsC
1.0
4.4211 0.0000 0.0000
-2.2106 3.8288 0.0000
0.0000 0.0000 6.8159
As C
4 4
Direct
0.0000 0.0000 0.2500
0.0000 0.0000 0.7500
0.3333 0.6667 0.2500
0.6667 0.3333 0.7500
0.3333 0.6667 0.5368
0.3333 0.6667 0.9632
0.6667 0.3333 0.0368
0.6667 0.3333 0.4632
```

=====

No. 5
DFT (PBE) results for AsC after structural relaxation.

Output
total magnetic moment = 0.00 Bohr magnetons per cell
mass density = 4.0 g cm⁻³
V = 146 Å³ per cell
energy of formation from the pure elements = 0.56 eV per atom
uncorrected energy = -6.38 eV/atom

Geometry as POSCAR:
```
AsC
1.0
2.5935 0.0000 0.0000
-1.2968 2.2460 0.0000
0.0000 0.0000 25.0682
As C
4 4
Direct
0.3333 0.6667 0.0701
0.3333 0.6667 0.4299
0.6667 0.3333 0.5701
0.6667 0.3333 0.9299
0.0000 0.0000 0.2500
0.0000 0.0000 0.7500
0.3333 0.6667 0.7500
0.6667 0.3333 0.2500
```

=====

No. 6
DFT (PBE) results for AsC after structural relaxation.

Output
total magnetic moment = 0.00 Bohr magnetons per cell
mass density = 4.8 g cm⁻³
V = 119 Å³ per cell
energy of formation from the pure elements = 1.40 eV per atom
uncorrected energy = -5.53 eV/atom

Geometry as POSCAR:
```
AsC
1.0
6.2051 0.0000 0.0000
0.0000 6.2051 0.0000
0.0000 0.0000 3.0924
As C
4 4
Direct
0.1718 0.1718 0.0000
0.3282 0.6718 0.5000
0.6718 0.3282 0.5000
0.8282 0.8282 0.0000
0.1898 0.8102 0.0000
0.3102 0.3102 0.5000
0.6898 0.6898 0.5000
0.8102 0.1898 0.0000
```

=====

No. 7
DFT (PBE) results for AsC after structural relaxation.

Output
total magnetic moment = 0.75 Bohr magnetons per cell
mass density = 5.6 g cm⁻³
V = 51 Å³ per cell
energy of formation from the pure elements = 2.64 eV per atom
uncorrected energy = -4.30 eV/atom

Geometry as POSCAR:
```
AsC
1.0
0.0000 2.9508 2.9508
2.9508 0.0000 2.9508
2.9508 2.9508 0.0000
As C
2 2
Direct
0.1250 0.1250 0.1250
0.8750 0.8750 0.8750
0.3750 0.3750 0.3750
0.6250 0.6250 0.6250
```

=====

No. 8
DFT (PBE) results for AsC after structural relaxation.

Output
total magnetic moment = 0.00 Bohr magnetons per cell
mass density = 4.2 g cm⁻³
V = 138 Å³ per cell
energy of formation from the pure elements = 0.54 eV per atom
uncorrected energy = -6.40 eV/atom

Geometry as POSCAR:
```
AsC
1.0
9.7388 0.0000 0.0000
0.0000 2.5835 0.0000
0.0000 0.0000 5.4955
As C
4 4
Direct
0.1113 0.2500 0.1367
0.3887 0.7500 0.6367
0.6113 0.2500 0.3633
0.8887 0.7500 0.8633
0.0151 0.2500 0.4480
0.4849 0.7500 0.9480
0.5151 0.2500 0.0520
0.9849 0.7500 0.5520
```

=====

Q: Which of these has the highest V?
A: number 5